SrCo2Pt | PBE | optimized geometry

Computed properties:
- DFT formation energy (eV/atom) = 0.438
- theoretical density (g/cm³) = 9.5
- D(E_F) (states/eV/cell) = 13.31

a b c (Å): 4.1625 4.1625 8.1004
angles (deg): 90.00 90.00 90.00
Last column: nearest neighbours and their distance in Å.
Space group I-4m2 (No. 119)
Inequivalent atoms, fractional coordinates:
1 Sr 0.0000 0.0000 0.0000 (multiplicity 2)  8 Co 2.90-2.94, 4 Pt 2.90
2 Co 0.0000 0.0000 0.5000 (multiplicity 2)  4 Pt 2.90, 4 Co 2.90, 4 Sr 2.94
3 Co 0.0000 0.5000 0.7500 (multiplicity 2)  4 Co 2.90, 4 Sr 2.90, 4 Pt 2.94
4 Pt 0.0000 0.5000 0.2500 (multiplicity 2)  8 Co 2.90-2.94, 4 Sr 2.90